[1]
First-principles (PBE) data for a geometry-optimized BeCdSi structure, as listed in the Alexandria database.

Lattice parameters (Å, degrees): 3.025 3.025 5.941 90.00 90.00 120.00
Fractional positions:
Si: 0.333 0.667 0.709
Cd: 0.667 0.333 0.313
Be: 0.000 0.000 0.978

* N(E_F): 0.27 states/eV per atom
* uncorrected formation energy: 445 meV/atom
* magnetic moment: 0.00 μB/f.u.

---

[2]
First-principles (PBE) data for a geometry-optimized BeCdSi structure, as listed in the Alexandria database.

Lattice parameters (Å, degrees): 4.074 4.074 6.056 90.00 90.00 90.00
Fractional positions:
Cd: 0.500 0.500 0.500
Cd: 0.000 0.000 0.500
Si: 0.000 0.500 0.167
Si: 0.500 0.000 0.833
Be: 0.000 0.500 0.803
Be: 0.500 0.000 0.197

* N(E_F): 0.29 states/eV per atom
* uncorrected formation energy: 616 meV/atom
* magnetic moment: 0.00 μB/f.u.

---

> What is the formula in the second record?

BeCdSi